1.
The following is a DFT calculation (PBE) of crystalline RbTl3Pd2 at its relaxed geometry.

magnetization	0.000	μB per atom
excess energy over the best structure of this formula in the dataset	3.0	meV per atom
space-group type	No. 63
DFT formation energy	-0.79	eV/f.u.
V	28.82	Å³/atom
mass density	8.75	g/cm3

The structure in CIF format:
```
data_RbTl3Pd2
_cell_length_a 3.912
_cell_length_b 10.291
_cell_length_c 8.750
_cell_angle_alpha 90.00
_cell_angle_beta 90.00
_cell_angle_gamma 100.96
_symmetry_space_group_name_H-M 'P 1'
_symmetry_Int_Tables_number 1
loop_
_symmetry_equiv_pos_as_xyz
'x,y,z'
loop_
_atom_site_label
_atom_site_type_symbol
_atom_site_fract_x
_atom_site_fract_y
_atom_site_fract_z
_atom_site_occupancy
Rb1 Rb 0.759 0.517 0.750 1
Rb2 Rb 0.241 0.483 0.250 1
Pd1 Pd 0.000 0.000 0.500 1
Pd2 Pd 0.503 0.006 0.750 1
Pd3 Pd 0.497 0.994 0.250 1
Pd4 Pd 0.000 0.000 0.000 1
Tl1 Tl 0.395 0.789 0.947 1
Tl2 Tl 0.898 0.795 0.250 1
Tl3 Tl 0.605 0.211 0.053 1
Tl4 Tl 0.605 0.211 0.447 1
Tl5 Tl 0.102 0.205 0.750 1
Tl6 Tl 0.395 0.789 0.553 1
```

2.
The following is a DFT calculation (PBE) of crystalline AlZnFe2Br at its relaxed geometry.

magnetization	1.321	μB per atom
space-group type	No. 123
V	21.07	Å³/atom
mass density	4.48	g/cm3
formation energy without anion corrections	0.9466	eV per atom

The structure in CIF format:
```
data_AlZnFe2Br
_cell_length_a 4.759
_cell_length_b 4.650
_cell_length_c 4.759
_cell_angle_alpha 90.00
_cell_angle_beta 90.00
_cell_angle_gamma 90.00
_symmetry_space_group_name_H-M 'P 1'
_symmetry_Int_Tables_number 1
loop_
_symmetry_equiv_pos_as_xyz
'x,y,z'
loop_
_atom_site_label
_atom_site_type_symbol
_atom_site_fract_x
_atom_site_fract_y
_atom_site_fract_z
_atom_site_occupancy
Br1 Br 0.500 0.500 0.500 1
Zn1 Zn 0.000 0.000 0.000 1
Al1 Al 0.000 0.500 0.000 1
Fe1 Fe 0.500 0.000 0.000 1
Fe2 Fe 0.000 0.000 0.500 1
```

3.
The following is a DFT calculation (PBE) of crystalline In3I at its relaxed geometry.

magnetization	0.000	μB per atom
excess energy over the best structure of this formula in the dataset	63.4	meV per atom
space-group type	No. 221
V	32.67	Å³/atom
mass density	5.99	g/cm3
formation energy without anion corrections	0.0018	eV per atom

The structure in CIF format:
```
data_In3I
_cell_length_a 5.075
_cell_length_b 5.075
_cell_length_c 5.075
_cell_angle_alpha 90.00
_cell_angle_beta 90.00
_cell_angle_gamma 90.00
_symmetry_space_group_name_H-M 'P 1'
_symmetry_Int_Tables_number 1
loop_
_symmetry_equiv_pos_as_xyz
'x,y,z'
loop_
_atom_site_label
_atom_site_type_symbol
_atom_site_fract_x
_atom_site_fract_y
_atom_site_fract_z
_atom_site_occupancy
I1 I 0.000 0.000 0.000 1
In1 In 0.500 0.000 0.500 1
In2 In 0.500 0.500 0.000 1
In3 In 0.000 0.500 0.500 1
```

4.
The following is a DFT calculation (PBE) of crystalline Sm2HoUN4 at its relaxed geometry.

magnetization	0.099	μB per atom
space-group type	No. 10
V	15.18	Å³/atom
mass density	10.39	g/cm3
formation energy without anion corrections	-1.5502	eV per atom

The structure in CIF format:
```
data_Sm2HoUN4
_cell_length_a 3.509
_cell_length_b 6.015
_cell_length_c 6.083
_cell_angle_alpha 108.97
_cell_angle_beta 90.00
_cell_angle_gamma 90.00
_symmetry_space_group_name_H-M 'P 1'
_symmetry_Int_Tables_number 1
loop_
_symmetry_equiv_pos_as_xyz
'x,y,z'
loop_
_atom_site_label
_atom_site_type_symbol
_atom_site_fract_x
_atom_site_fract_y
_atom_site_fract_z
_atom_site_occupancy
N1 N 0.500 0.231 0.222 1
N2 N 0.000 0.239 0.777 1
N3 N 0.000 0.761 0.223 1
N4 N 0.500 0.769 0.778 1
Sm1 Sm 0.000 0.500 0.500 1
Sm2 Sm 0.500 0.000 0.500 1
U1 U 0.000 0.000 0.000 1
Ho1 Ho 0.500 0.500 0.000 1
```

5.
The following is a DFT calculation (PBE) of crystalline CdSnS3 at its relaxed geometry.

magnetization	0.000	μB per atom
excess energy over the best structure of this formula in the dataset	542.4	meV per atom
space-group type	No. 221
V	24.82	Å³/atom
mass density	4.38	g/cm3
formation energy without anion corrections	0.2601	eV per atom

The structure in CIF format:
```
data_CdSnS3
_cell_length_a 4.988
_cell_length_b 4.988
_cell_length_c 4.988
_cell_angle_alpha 90.00
_cell_angle_beta 90.00
_cell_angle_gamma 90.00
_symmetry_space_group_name_H-M 'P 1'
_symmetry_Int_Tables_number 1
loop_
_symmetry_equiv_pos_as_xyz
'x,y,z'
loop_
_atom_site_label
_atom_site_type_symbol
_atom_site_fract_x
_atom_site_fract_y
_atom_site_fract_z
_atom_site_occupancy
S1 S 0.500 0.000 0.000 1
S2 S 0.000 0.500 0.000 1
S3 S 0.000 0.000 0.500 1
Cd1 Cd 0.500 0.500 0.500 1
Sn1 Sn 0.000 0.000 0.000 1
```

6.
The following is a DFT calculation (PBE) of crystalline TaCr2Hg at its relaxed geometry.

magnetization	0.000	μB per atom
space-group type	No. 10
DFT formation energy	1.81	eV/f.u.
V	16.73	Å³/atom
mass density	12.05	g/cm3

The structure in CIF format:
```
data_TaCr2Hg
_cell_length_a 4.348
_cell_length_b 2.852
_cell_length_c 5.458
_cell_angle_alpha 81.41
_cell_angle_beta 90.00
_cell_angle_gamma 90.00
_symmetry_space_group_name_H-M 'P 1'
_symmetry_Int_Tables_number 1
loop_
_symmetry_equiv_pos_as_xyz
'x,y,z'
loop_
_atom_site_label
_atom_site_type_symbol
_atom_site_fract_x
_atom_site_fract_y
_atom_site_fract_z
_atom_site_occupancy
Cr1 Cr 0.000 0.440 0.571 1
Cr2 Cr 0.000 0.060 0.929 1
Hg1 Hg 0.500 0.250 0.250 1
Ta1 Ta 0.500 0.750 0.750 1
```